No. 1
Material: La6MgIn3
Method: DFT, PBE
State: optimized geometry

Calculated values
Symmetry: P2_1/c, No. 14
M_tot: 0.0 Bohr magnetons per cell
Energy of formation from the pure elements: -0.184 eV/atom
DOS(E_F): 18.5 states/eV/cell

Unit cell a=8.899 b=8.371 c=8.958 alpha=90.00 beta=95.69 gamma=90.00
Sites, in units of the cell vectors:
La 0.821 0.680 0.585
La 0.679 0.180 0.915
La 0.279 0.119 0.772
La 0.355 0.871 0.443
La 0.221 0.619 0.728
La 0.721 0.881 0.228
La 0.855 0.629 0.943
La 0.645 0.129 0.557
La 0.145 0.371 0.057
La 0.321 0.820 0.085
La 0.779 0.381 0.272
La 0.179 0.320 0.415
In 0.548 0.827 0.794
In 0.452 0.173 0.206
In 0.952 0.327 0.706
In 0.000 0.000 0.500
In 0.048 0.673 0.294
In 0.500 0.500 0.000
Mg 0.000 0.000 0.000
Mg 0.500 0.500 0.500

---

No. 2
Material: ZrCuTe2
Method: DFT, PBE
State: optimized geometry

Calculated values
Symmetry: P4mm, No. 99
M_tot: 0.0 Bohr magnetons per cell
Uncorrected formation energy: -151 kJ/mol of formula units
DOS(E_F): 2.3 states/eV/cell

Unit cell a=3.804 b=3.804 c=7.000 alpha=90.00 beta=90.00 gamma=90.00
Sites, in units of the cell vectors:
Te 0.500 0.500 0.346
Te 0.000 0.000 0.897
Cu 0.500 0.500 0.746
Zr 0.000 0.000 0.510

---

No. 3
Material: DyFeSi3Rh
Method: DFT, PBE
State: optimized geometry

Calculated values
Symmetry: Cmcm, No. 63
M_tot: 0.3 Bohr magnetons per cell
Uncorrected formation energy: -247 kJ/mol of formula units
DOS(E_F): 5.8 states/eV/cell

Unit cell a=5.369 b=7.201 c=6.621 alpha=122.94 beta=90.00 gamma=90.00
Site moments in Bohr magnetons follow the coordinates.
Sites, in units of the cell vectors:
Rh 0.250 0.429 0.859  0.00
Rh 0.750 0.571 0.141  0.00
Fe 0.250 0.044 0.088  0.20
Fe 0.750 0.956 0.912  0.20
Si 0.250 0.232 0.465  0.00
Si 0.000 0.244 0.000  -0.01
Si 0.500 0.756 0.000  -0.01
Si 0.000 0.756 0.000  -0.01
Si 0.750 0.768 0.535  0.00
Si 0.500 0.244 0.000  -0.01
Dy 0.750 0.227 0.455  0.01
Dy 0.250 0.773 0.545  0.01

---

No. 4
Material: HfCu3W
Method: DFT, PBE
State: optimized geometry

Calculated values
Symmetry: Pm-3m, No. 221
M_tot: 0.0 Bohr magnetons per cell
Energy relative to the lowest polymorph listed for this composition: 0 meV per atom
Energy of formation from the pure elements: 1.330 eV/atom
DOS(E_F): 4.7 states/eV/cell

Unit cell a=4.575 b=4.575 c=4.575 alpha=90.00 beta=90.00 gamma=90.00
Sites, in units of the cell vectors:
Cu 0.000 0.000 0.500
Cu 0.500 0.000 0.000
Cu 0.000 0.500 0.000
Hf 0.500 0.500 0.500
W 0.000 0.000 0.000